{"formula": "ZnSb2O4", "functional": "PBE", "state": "optimized geometry", "e_tot_ev_per_cell": -72.90, "magmom_total_mub_per_fu": 0.00, "space_group": "Cmcm, No. 63", "e_form_raw_ev_per_atom": -1.01, "crystal_system": "orthorhombic", "lattice": [[-4.8340, 1.7845, 1.6083], [4.5823, -2.2658, 1.7339], [5.8447, 13.6628, 2.4079]], "species": ["O", "O", "Sb", "O", "Zn", "O", "Sb", "O", "Sb", "O", "O", "O", "Sb", "Zn"], "fractional_positions": [[0.5000, 0.5000, 0.0000], [0.0213, 0.9787, 0.2500], [0.1373, 0.8627, 0.5586], [0.2229, 0.7771, 0.4354], [0.4335, 0.5665, 0.7500], [0.5000, 0.5000, 0.5000], [0.1373, 0.8627, 0.9414], [0.2229, 0.7771, 0.0646], [0.8627, 0.1373, 0.0586], [0.9787, 0.0213, 0.7500], [0.7771, 0.2229, 0.5646], [0.7771, 0.2229, 0.9354], [0.8627, 0.1373, 0.4414], [0.5665, 0.4335, 0.2500]]}

=====

{"formula": "Zn2Sb2O5", "functional": "PBE", "state": "optimized geometry", "e_tot_ev_per_cell": -92.43, "magmom_total_mub_per_fu": 0.00, "n_ef_per_ev_cell": 0.0, "space_group": "Pbam, No. 55", "e_form_raw_ev_per_atom": -1.18, "crystal_system": "orthorhombic", "lattice": [[3.3704, 0.0000, 0.0000], [0.0000, 9.0592, 0.0000], [0.0000, 0.0000, 9.4379]], "species": ["O", "Sb", "O", "O", "Sb", "Sb", "Zn", "O", "Zn", "O", "O", "Zn", "O", "Sb", "O", "O", "Zn", "O"], "fractional_positions": [[0.0000, 0.9118, 0.6862], [0.0000, 0.7703, 0.0457], [0.5000, 0.1776, 0.8349], [0.5000, 0.8224, 0.1651], [0.0000, 0.2703, 0.4543], [0.0000, 0.2297, 0.9543], [0.5000, 0.5298, 0.2659], [0.0000, 0.5882, 0.1862], [0.5000, 0.9702, 0.7659], [0.0000, 0.0000, 0.0000], [0.5000, 0.6776, 0.6651], [0.5000, 0.4702, 0.7341], [0.5000, 0.3224, 0.3349], [0.0000, 0.7297, 0.5457], [0.0000, 0.5000, 0.5000], [0.0000, 0.4118, 0.8138], [0.5000, 0.0298, 0.2341], [0.0000, 0.0882, 0.3138]]}

=====

{"formula": "ZnSb2O4", "functional": "PBE", "state": "optimized geometry", "e_tot_ev_per_cell": -152.11, "magmom_total_mub_per_fu": 0.00, "n_ef_per_ev_cell": 0.0, "space_group": "Pnma, No. 62", "e_form_raw_ev_per_atom": -1.24, "crystal_system": "orthorhombic", "lattice": [[3.3558, 0.0000, 0.0000], [0.0000, 12.6961, 0.0000], [0.0000, 0.0000, 10.7275]], "species": ["O", "O", "Sb", "O", "O", "O", "Sb", "O", "Sb", "O", "Zn", "Sb", "Sb", "Zn", "Sb", "Sb", "O", "Sb", "Zn", "Zn", "O", "O", "O", "O", "O", "O", "O", "O"], "fractional_positions": [[0.7500, 0.0789, 0.0184], [0.7500, 0.4016, 0.3066], [0.2500, 0.5127, 0.3625], [0.2500, 0.1906, 0.4143], [0.7500, 0.3094, 0.9143], [0.7500, 0.9016, 0.1934], [0.2500, 0.6155, 0.9182], [0.2500, 0.0984, 0.8066], [0.7500, 0.9873, 0.8625], [0.2500, 0.9211, 0.9816], [0.7500, 0.7708, 0.0954], [0.2500, 0.0127, 0.1375], [0.7500, 0.8845, 0.4182], [0.2500, 0.7292, 0.5954], [0.2500, 0.1155, 0.5818], [0.7500, 0.4873, 0.6375], [0.2500, 0.6906, 0.0857], [0.7500, 0.3845, 0.0818], [0.2500, 0.2292, 0.9046], [0.7500, 0.2708, 0.4046], [0.2500, 0.5984, 0.6934], [0.2500, 0.7967, 0.3852], [0.2500, 0.2967, 0.1148], [0.7500, 0.2033, 0.6148], [0.2500, 0.4211, 0.5184], [0.7500, 0.7033, 0.8852], [0.7500, 0.5789, 0.4816], [0.7500, 0.8094, 0.5857]]}

=====

{"formula": "ZnSb2O4", "functional": "PBE", "state": "optimized geometry", "e_tot_ev_per_cell": -73.78, "magmom_total_mub_per_fu": 0.00, "space_group": "Imma, No. 74", "e_form_raw_ev_per_atom": -1.08, "crystal_system": "orthorhombic", "lattice": [[5.1960, -2.6405, -3.2399], [1.8191, -3.2585, 5.5264], [-5.9283, -0.6430, -2.9849]], "species": ["O", "Zn", "Zn", "O", "O", "O", "Sb", "Sb", "O", "Sb", "O", "O", "Sb", "O"], "fractional_positions": [[0.7608, 0.7639, 0.5031], [0.5000, 0.0000, 0.0000], [0.5000, 0.5000, 0.5000], [0.3126, 0.2614, 0.0512], [0.2392, 0.2361, 0.4969], [0.6874, 0.7386, 0.9488], [0.9050, 0.1550, 0.7500], [0.0000, 0.5000, 0.5000], [0.7101, 0.2614, 0.4488], [0.0950, 0.8450, 0.2500], [0.2392, 0.7423, 0.0031], [0.2899, 0.7386, 0.5512], [0.5000, 0.5000, 0.0000], [0.7608, 0.2577, 0.9969]]}

=====

{"formula": "ZnSbO2", "functional": "PBE", "state": "optimized geometry", "e_tot_ev_per_cell": -18.15, "magmom_total_mub_per_fu": 0.00, "n_ef_per_ev_cell": 1.7, "space_group": "R-3m, No. 166", "e_form_raw_ev_per_atom": -0.71, "crystal_system": "trigonal", "lattice": [[-0.7004, -3.9513, 4.9559], [2.7360, -4.2343, 3.9050], [1.7045, -1.4642, 5.9679]], "species": ["O", "Sb", "Zn", "O"], "fractional_positions": [[0.1039, 0.1039, 0.1039], [0.5000, 0.5000, 0.5000], [0.0000, 0.0000, 0.0000], [0.8961, 0.8961, 0.8961]]}

=====

{"formula": "Zn2SbO", "functional": "PBE", "state": "optimized geometry", "e_tot_ev_per_cell": -10.54, "magmom_total_mub_per_fu": 1.03, "n_ef_per_ev_cell": 3.5, "space_group": "Fm-3m, No. 225", "e_form_raw_ev_per_atom": 0.27, "crystal_system": "cubic", "lattice": [[0.0000, 3.2283, 3.2283], [3.2283, 0.0000, 3.2283], [3.2283, 3.2283, 0.0000]], "species": ["Zn", "Zn", "Sb", "O"], "fractional_positions": [[0.2500, 0.2500, 0.2500], [0.7500, 0.7500, 0.7500], [0.5000, 0.5000, 0.5000], [0.0000, 0.0000, 0.0000]]}

=====

{"formula": "ZnSb4O8", "functional": "PBE", "state": "optimized geometry", "e_tot_ev_per_cell": -73.99, "magmom_total_mub_per_fu": 0.00, "space_group": "Cm, No. 8", "e_form_raw_ev_per_atom": -1.27, "crystal_system": "monoclinic", "lattice": [[-2.3694, 1.0241, 2.0135], [-1.6291, -6.8255, 1.5629], [3.7397, -2.1146, 8.1339]], "species": ["O", "O", "O", "O", "O", "Sb", "Zn", "O", "Sb", "O", "O", "Sb", "Sb"], "fractional_positions": [[0.2315, 0.6519, 0.3851], [0.7876, 0.4134, 0.2737], [0.5452, 0.9917, 0.7584], [0.9564, 0.1617, 0.9368], [0.4282, 0.4440, 0.9925], [0.2025, 0.3560, 0.4438], [0.5168, 0.2764, 0.8154], [0.6266, 0.4381, 0.5956], [0.8680, 0.2724, 0.1134], [0.3126, 0.1149, 0.2246], [0.0815, 0.7074, 0.6856], [0.9944, 0.8239, 0.8607], [0.6710, 0.7476, 0.5056]]}

=====

{"formula": "Zn2SbO", "functional": "PBE", "state": "optimized geometry", "e_tot_ev_per_cell": -27.25, "magmom_total_mub_per_fu": 0.00, "n_ef_per_ev_cell": 3.0, "space_group": "I-42d, No. 122", "e_form_raw_ev_per_atom": -0.50, "crystal_system": "tetragonal", "lattice": [[5.4647, 0.0000, 0.0000], [0.0000, 5.4647, 0.0000], [2.7323, 2.7323, 5.1408]], "species": ["O", "Zn", "Zn", "Sb", "Sb", "Zn", "O", "Zn"], "fractional_positions": [[0.5000, 0.5000, 0.0000], [0.8750, 0.7699, 0.7500], [0.2301, 0.6250, 0.2500], [0.7500, 0.2500, 0.5000], [0.0000, 0.0000, 0.0000], [0.5199, 0.1250, 0.2500], [0.2500, 0.7500, 0.5000], [0.3750, 0.4801, 0.7500]]}